! ReHg2Te (GGA-PBE, relaxed); values from VASP
! **E_tot**: -14.185 eV/f.u.
! **Excess energy over the best structure of this formula in the dataset**: 0.388 eV per formula unit
! **Space-group type**: No. 38
! **Magnetic moment**: 0.000 μB/f.u.
! **ΔE_f (raw)**: 502 meV/atom
&SYSTEM
  ibrav = 0, nat = 8, ntyp = 3
/
ATOMIC_SPECIES
Re 186.21 Re.upf
Hg 200.59 Hg.upf
Te 127.60 Te.upf
CELL_PARAMETERS angstrom
3.239 0.000 0.000
0.000 4.495 0.000
0.000 0.000 13.954
ATOMIC_POSITIONS crystal
Re 0.000 0.000 0.000
Re 0.000 0.500 0.500
Hg 0.000 0.000 0.197
Hg 0.000 0.500 0.697
Hg 0.500 0.000 0.538
Hg 0.500 0.500 0.038
Te 0.500 0.000 0.853
Te 0.500 0.500 0.353